Below is a geometry-optimized ZrAu4 structure, with properties calculated at the GGA-PBE level.

The structure belongs to space group I4/mmm (No. 139); the cell edges are 3.8296, 3.8296 and 13.8736 Å and the angles 90.00°, 90.00° and 90.00°. The asymmetric unit holds Zr at (0.0000, 0.0000, 0.0000), Au at (0.0000, 0.0000, 0.4033) and Au at (0.0000, 0.5000, 0.2500).

The value obtained for the total energy is -44.266 eV/cell. The calculation puts the calculated volume at 203.47 Å³ per cell. As for the formation energy from the elements: -0.10 eV per atom. Its density of states at the Fermi level is 5.0 states/eV per cell.